The following is a DFT calculation (GGA-PBE) of a geometry-optimized KTaIn2 structure.

Calculated values
- Symmetry: Cmmm, No. 65

abc: 5.5537 5.5537 3.0688
angles: 90.00 90.00 90.28
Positions (direct):
In 0.0000 0.0000 0.0000
In 0.5000 0.5000 0.0000
K 0.5000 0.0000 0.5000
Ta 0.0000 0.5000 0.5000

The following is a DFT calculation (GGA-PBE) of a geometry-optimized LuTiRh2 structure.

Calculated values
- Symmetry: Fm-3m, No. 225

abc: 4.5681 4.5681 4.5681
angles: 60.00 60.00 60.00
Positions (direct):
Lu 0.0000 0.0000 0.0000
Rh 0.2500 0.2500 0.2500
Rh 0.7500 0.7500 0.7500
Ti 0.5000 0.5000 0.5000

The following is a DFT calculation (GGA-PBE) of a geometry-optimized Sr2IrBr structure.

Calculated values
- E_form (uncorrected): -64.5 kJ per mole of atoms
- Symmetry: Amm2, No. 38

abc: 6.0305 6.0305 5.0694
angles: 90.00 90.00 36.97
Positions (direct):
Sr 0.0046 0.0046 0.1250
Sr 0.7477 0.7477 0.6250
Ir 0.2660 0.2660 0.1250
Br 0.4817 0.4817 0.6250

VASP energy per entry: -16.486, -30.342, -16.571 eV/cell
Density of states at the Fermi level per entry: 1.71, 3.06, 1.26 states/eV per cell